No. 1
A geometry-optimized RbNa2Nd structure, computed with GGA-PBE.

Output
Its formation energy from the elements is 0.3348 eV per atom.

```
data_RbNa2Nd
_chemical_formula_sum 'Rb1 Na2 Nd1'
_space_group_name_H-M_alt 'P 1'
_space_group_IT_number 1
_space_group_name_Hall 'P 1'
_cell_length_a 14.7674
_cell_length_b 14.7674
_cell_length_c 14.7674
_cell_angle_alpha 14.64
_cell_angle_beta 14.64
_cell_angle_gamma 14.64
loop_
_atom_site_label
_atom_site_type_symbol
_atom_site_fract_x
_atom_site_fract_y
_atom_site_fract_z
Rb1 Rb 0.0000 0.0000 0.0000
Na1 Na 0.4203 0.4203 0.4203
Na2 Na 0.5797 0.5797 0.5797
Nd1 Nd 0.5000 0.5000 0.5000
```

=====

No. 2
A geometry-optimized NaNd2Rh structure, computed with GGA-PBE.

Output
Its formation energy from the elements is -0.2730 eV per atom.

```
data_NaNd2Rh
_chemical_formula_sum 'Na1 Nd2 Rh1'
_space_group_name_H-M_alt 'P 1'
_space_group_IT_number 1
_space_group_name_Hall 'P 1'
_cell_length_a 3.5628
_cell_length_b 3.5628
_cell_length_c 9.4972
_cell_angle_alpha 90.00
_cell_angle_beta 90.00
_cell_angle_gamma 90.00
loop_
_atom_site_label
_atom_site_type_symbol
_atom_site_fract_x
_atom_site_fract_y
_atom_site_fract_z
Na1 Na 0.0000 0.0000 0.0000
Nd1 Nd 0.5000 0.5000 0.3233
Nd2 Nd 0.5000 0.5000 0.6767
Rh1 Rh 0.0000 0.0000 0.5000
```

=====

No. 3
A geometry-optimized NaNdRh4 structure, computed with GGA-PBE.

Output
Its formation energy from the elements is -0.2980 eV per atom.

```
data_NaNdRh4
_chemical_formula_sum 'Na1 Nd1 Rh4'
_space_group_name_H-M_alt 'P 1'
_space_group_IT_number 1
_space_group_name_Hall 'P 1'
_cell_length_a 5.3431
_cell_length_b 5.3431
_cell_length_c 5.3431
_cell_angle_alpha 60.00
_cell_angle_beta 60.00
_cell_angle_gamma 60.00
loop_
_atom_site_label
_atom_site_type_symbol
_atom_site_fract_x
_atom_site_fract_y
_atom_site_fract_z
Na1 Na 0.0000 0.0000 0.0000
Nd1 Nd 0.7500 0.7500 0.7500
Rh1 Rh 0.3748 0.3748 0.3748
Rh2 Rh 0.3748 0.3748 0.8756
Rh3 Rh 0.3748 0.8756 0.3748
Rh4 Rh 0.8756 0.3748 0.3748
```

=====

No. 4
A geometry-optimized NaNd2Rh structure, computed with GGA-PBE.

Output
Its formation energy from the elements is -0.3223 eV per atom.

```
data_NaNd2Rh
_chemical_formula_sum 'Na1 Nd2 Rh1'
_space_group_name_H-M_alt 'P 1'
_space_group_IT_number 1
_space_group_name_Hall 'P 1'
_cell_length_a 9.5238
_cell_length_b 9.5238
_cell_length_c 9.5238
_cell_angle_alpha 25.05
_cell_angle_beta 25.05
_cell_angle_gamma 25.05
loop_
_atom_site_label
_atom_site_type_symbol
_atom_site_fract_x
_atom_site_fract_y
_atom_site_fract_z
Na1 Na 0.0000 0.0000 0.0000
Nd1 Nd 0.5542 0.5542 0.5542
Nd2 Nd 0.7776 0.7776 0.7776
Rh1 Rh 0.1657 0.1657 0.1657
```

=====

No. 5
A geometry-optimized NaNd2Rh structure, computed with GGA-PBE.

Output
Its formation energy from the elements is -0.2443 eV per atom.

```
data_NaNd2Rh
_chemical_formula_sum 'Na1 Nd2 Rh1'
_space_group_name_H-M_alt 'P 1'
_space_group_IT_number 1
_space_group_name_Hall 'P 1'
_cell_length_a 10.8653
_cell_length_b 10.8653
_cell_length_c 10.8653
_cell_angle_alpha 21.61
_cell_angle_beta 21.61
_cell_angle_gamma 21.61
loop_
_atom_site_label
_atom_site_type_symbol
_atom_site_fract_x
_atom_site_fract_y
_atom_site_fract_z
Na1 Na 0.0000 0.0000 0.0000
Nd1 Nd 0.1182 0.1182 0.1182
Nd2 Nd 0.8818 0.8818 0.8818
Rh1 Rh 0.5000 0.5000 0.5000
```

=====

No. 6
A geometry-optimized NaNd2Sb3Rh4 structure, computed with GGA-PBE.

Output
Its energy relative to the elements, uncorrected is -0.69 eV per atom.

```
data_NaNd2Sb3Rh4
_chemical_formula_sum 'Na1 Nd2 Sb3 Rh4'
_space_group_name_H-M_alt 'P 1'
_space_group_IT_number 1
_space_group_name_Hall 'P 1'
_cell_length_a 4.3490
_cell_length_b 4.3490
_cell_length_c 11.2616
_cell_angle_alpha 90.00
_cell_angle_beta 90.00
_cell_angle_gamma 90.00
loop_
_atom_site_label
_atom_site_type_symbol
_atom_site_fract_x
_atom_site_fract_y
_atom_site_fract_z
Na1 Na 0.0000 0.0000 0.0000
Nd1 Nd 0.0000 0.5000 0.7493
Nd2 Nd 0.5000 0.0000 0.2507
Sb1 Sb 0.0000 0.5000 0.3676
Sb2 Sb 0.5000 0.0000 0.6324
Sb3 Sb 0.5000 0.5000 0.0000
Rh1 Rh 0.0000 0.0000 0.5000
Rh2 Rh 0.0000 0.5000 0.1427
Rh3 Rh 0.5000 0.0000 0.8573
Rh4 Rh 0.5000 0.5000 0.5000
```

=====

no.,Fermi-level density of states (states/eV per atom),final energy (eV/atom)
1,0.897,-1.759
2,0.868,-4.824
3,1.330,-6.213
4,0.664,-4.874
5,0.948,-4.796
6,0.369,-5.949